(1)
Compound: Hf3ZrTl2C2
Source: OQMD
Functional: GGA-PBE
Structure: relaxed

Summary:
Total DFT energy (no corrections)   -66.62 eV per cell
Space group   P3m1 (156)

```
Hf3ZrTl2C2
1.0
3.352 0.000 0.000
-1.676 2.903 0.000
0.000 0.000 14.947
Hf Zr Tl C
3 1 2 2
direct
0.000 0.000 0.000 Hf
0.000 0.000 0.337 Hf
0.333 0.667 0.498 Hf
0.333 0.667 0.837 Zr
0.000 0.000 0.667 Tl
0.333 0.667 0.169 Tl
0.667 0.333 0.418 C
0.667 0.333 0.921 C
```

(2)
Compound: ErTaPO
Source: OQMD
Functional: GGA-PBE
Structure: relaxed

Summary:
Total DFT energy (no corrections)   -69.03 eV per cell
Space group   P4/nmm (129)

```
ErTaPO
1.0
3.904 0.000 0.000
0.000 3.904 0.000
0.000 0.000 8.682
Er Ta P O
2 2 2 2
direct
0.250 0.250 0.124 Er
0.750 0.750 0.876 Er
0.250 0.750 0.500 Ta
0.750 0.250 0.500 Ta
0.250 0.250 0.693 P
0.750 0.750 0.307 P
0.250 0.750 0.000 O
0.750 0.250 0.000 O
```

(3)
Compound: NpGeBi
Source: OQMD
Functional: GGA-PBE
Structure: relaxed

Summary:
Total DFT energy (no corrections)   -20.27 eV per cell
Space group   F-43m (216)

```
NpGeBi
1.0
0.000 3.421 3.421
3.421 0.000 3.421
3.421 3.421 0.000
Np Ge Bi
1 1 1
direct
0.000 0.000 0.000 Np
0.250 0.250 0.250 Ge
0.750 0.750 0.750 Bi
```

(4)
Compound: Sr2CuAu2
Source: OQMD
Functional: GGA-PBE
Structure: relaxed

Summary:
Total DFT energy (no corrections)   -15.03 eV per cell
Space group   I4/mmm (139)

```
Sr2CuAu2
1.0
-1.978 1.978 8.569
1.978 -1.978 8.569
1.978 1.978 -8.569
Sr Cu Au
2 1 2
direct
0.104 0.104 0.000 Sr
0.896 0.896 0.000 Sr
0.500 0.500 0.000 Cu
0.250 0.750 0.500 Au
0.750 0.250 0.500 Au
```

(5)
Compound: Nd2HoMg3Ir2Pt
Source: OQMD
Functional: GGA-PBE
Structure: relaxed

Summary:
Total DFT energy (no corrections)   -49.15 eV per cell
Space group   Amm2 (38)

```
Nd2HoMg3Ir2Pt
1.0
4.084 0.000 0.000
0.000 6.422 3.719
0.000 -6.422 3.719
Nd Ho Mg Ir Pt
2 1 3 2 1
direct
0.000 0.208 0.792 Nd
0.000 0.792 0.208 Nd
0.000 0.618 0.618 Ho
0.500 0.211 0.454 Mg
0.500 0.454 0.211 Mg
0.500 0.960 0.960 Mg
0.500 0.544 0.867 Ir
0.500 0.867 0.544 Ir
0.000 0.215 0.215 Pt
```

(6)
Compound: YTmZn2Sn2
Source: OQMD
Functional: GGA-PBE
Structure: relaxed

Summary:
Total DFT energy (no corrections)   -49.82 eV per cell
Space group   P6_3/mmc (194)

```
YTmZn2Sn2
1.0
4.486 0.000 0.000
-2.243 3.885 0.000
0.000 0.000 15.728
Y Tm Zn Sn
2 2 4 4
direct
0.000 0.000 0.000 Y
0.000 0.000 0.500 Y
0.000 0.000 0.250 Tm
0.000 0.000 0.750 Tm
0.333 0.667 0.162 Zn
0.333 0.667 0.338 Zn
0.667 0.333 0.662 Zn
0.667 0.333 0.838 Zn
0.333 0.667 0.614 Sn
0.333 0.667 0.886 Sn
0.667 0.333 0.114 Sn
0.667 0.333 0.386 Sn
```

(7)
Compound: TlZnFeSe3
Source: OQMD
Functional: GGA-PBE
Structure: relaxed

Summary:
Total DFT energy (no corrections)   -48.30 eV per cell
Space group   P2_1/m (11)

```
TlZnFeSe3
1.0
8.269 0.000 0.000
0.000 3.741 0.000
-3.646 0.000 9.704
Tl Zn Fe Se
2 2 2 6
direct
0.246 0.250 0.238 Tl
0.754 0.750 0.762 Tl
0.170 0.750 0.607 Zn
0.830 0.250 0.393 Zn
0.418 0.250 0.908 Fe
0.582 0.750 0.092 Fe
0.030 0.750 0.350 Se
0.280 0.750 0.972 Se
0.408 0.250 0.677 Se
0.592 0.750 0.323 Se
0.720 0.250 0.028 Se
0.970 0.250 0.650 Se
```

(8)
Compound: PrGdSi2
Source: OQMD
Functional: GGA-PBE
Structure: relaxed

Summary:
Total DFT energy (no corrections)   -46.75 eV per cell
Space group   Pmc2_1 (26)

```
PrGdSi2
1.0
3.918 0.000 0.000
0.000 5.871 0.000
0.000 0.000 8.164
Pr Gd Si
2 2 4
direct
0.000 0.136 0.000 Pr
0.000 0.864 0.500 Pr
0.500 0.364 0.359 Gd
0.500 0.636 0.859 Gd
0.000 0.378 0.642 Si
0.000 0.622 0.142 Si
0.500 0.131 0.714 Si
0.500 0.869 0.214 Si
```

(9)
Compound: TbPuBr6
Source: OQMD
Functional: GGA-PBE
Structure: relaxed

Summary:
Total DFT energy (no corrections)   -42.57 eV per cell
Space group   C2 (5)

```
TbPuBr6
1.0
3.686 -6.381 0.000
3.686 6.381 0.000
-2.517 0.000 6.652
Tb Pu Br
1 1 6
direct
0.000 0.000 0.000 Tb
0.333 0.667 0.000 Pu
0.101 0.408 0.238 Br
0.226 0.246 0.762 Br
0.389 0.063 0.239 Br
0.592 0.899 0.762 Br
0.754 0.774 0.238 Br
0.937 0.611 0.761 Br
```

(10)
Compound: Dy2Ni12P7
Source: OQMD
Functional: GGA-PBE
Structure: relaxed

Summary:
Total DFT energy (no corrections)   -130.28 eV per cell
Space group   P-6 (174)

```
Dy2Ni12P7
1.0
9.032 0.000 0.000
-4.516 7.822 0.000
0.000 0.000 3.681
Dy Ni P
2 12 7
direct
0.000 0.000 0.000 Dy
0.333 0.667 0.500 Dy
0.048 0.764 0.500 Ni
0.101 0.394 0.000 Ni
0.236 0.284 0.500 Ni
0.293 0.899 0.000 Ni
0.392 0.211 0.000 Ni
0.545 0.116 0.500 Ni
0.572 0.455 0.500 Ni
0.606 0.707 0.000 Ni
0.716 0.952 0.500 Ni
0.789 0.182 0.000 Ni
0.818 0.608 0.000 Ni
0.884 0.428 0.500 Ni
0.074 0.627 0.000 P
0.262 0.039 0.500 P
0.373 0.447 0.000 P
0.553 0.926 0.000 P
0.667 0.333 0.000 P
0.777 0.738 0.500 P
0.961 0.223 0.500 P
```

(11)
Compound: LuBeNO
Source: OQMD
Functional: GGA-PBE
Structure: relaxed

Summary:
Total DFT energy (no corrections)   -59.95 eV per cell
Space group   Pmc2_1 (26)

```
LuBeNO
1.0
3.135 0.000 0.000
0.000 5.026 0.000
0.000 0.000 5.279
Lu Be N O
2 2 2 2
direct
0.000 0.209 0.000 Lu
0.000 0.791 0.500 Lu
0.500 0.211 0.537 Be
0.500 0.789 0.037 Be
0.500 0.039 0.264 N
0.500 0.961 0.764 N
0.000 0.370 0.587 O
0.000 0.630 0.087 O
```

(12)
Compound: HoGaPd
Source: OQMD
Functional: GGA-PBE
Structure: relaxed

Summary:
Total DFT energy (no corrections)   -30.77 eV per cell
Space group   P6_3mc (186)

```
HoGaPd
1.0
4.479 0.000 0.000
-2.240 3.879 0.000
0.000 0.000 6.852
Ho Ga Pd
2 2 2
direct
0.000 0.000 0.000 Ho
0.000 0.000 0.500 Ho
0.333 0.667 0.247 Ga
0.667 0.333 0.747 Ga
0.333 0.667 0.756 Pd
0.667 0.333 0.256 Pd
```

(13)
Compound: Dy3Mg3GaPt2
Source: OQMD
Functional: GGA-PBE
Structure: relaxed

Summary:
Total DFT energy (no corrections)   -40.49 eV per cell
Space group   P-62m (189)

```
Dy3Mg3GaPt2
1.0
7.402 0.000 0.000
-3.701 6.411 0.000
0.000 0.000 4.120
Dy Mg Ga Pt
3 3 1 2
direct
0.000 0.582 0.000 Dy
0.418 0.418 0.000 Dy
0.582 0.000 0.000 Dy
0.000 0.250 0.500 Mg
0.250 0.000 0.500 Mg
0.750 0.750 0.500 Mg
0.000 0.000 0.000 Ga
0.333 0.667 0.500 Pt
0.667 0.333 0.500 Pt
```

(14)
Compound: Co10Bi
Source: OQMD
Functional: GGA-PBE
Structure: relaxed

Summary:
Total DFT energy (no corrections)   -148.61 eV per cell
Space group   C2/m (12)

```
Co10Bi
1.0
3.899 -1.750 0.000
3.899 1.750 0.000
-0.060 0.000 28.156
Co Bi
20 2
direct
0.049 0.049 0.180 Co
0.049 0.049 0.903 Co
0.148 0.148 0.261 Co
0.150 0.150 0.986 Co
0.250 0.250 0.069 Co
0.253 0.253 0.792 Co
0.348 0.348 0.875 Co
0.351 0.351 0.153 Co
0.449 0.449 0.235 Co
0.450 0.450 0.959 Co
0.550 0.550 0.041 Co
0.551 0.551 0.765 Co
0.649 0.649 0.847 Co
0.652 0.652 0.125 Co
0.747 0.747 0.208 Co
0.750 0.750 0.931 Co
0.850 0.850 0.014 Co
0.852 0.852 0.739 Co
0.951 0.951 0.097 Co
0.951 0.951 0.820 Co
0.149 0.149 0.691 Bi
0.851 0.851 0.309 Bi
```

(15)
Compound: Nb4AlInN2
Source: OQMD
Functional: GGA-PBE
Structure: relaxed

Summary:
Total DFT energy (no corrections)   -68.31 eV per cell
Space group   P-6m2 (187)

```
Nb4AlInN2
1.0
3.042 0.000 0.000
-1.521 2.634 0.000
0.000 0.000 14.732
Nb Al In N
4 1 1 2
direct
0.000 0.000 0.151 Nb
0.000 0.000 0.849 Nb
0.667 0.333 0.333 Nb
0.667 0.333 0.667 Nb
0.667 0.333 0.000 Al
0.000 0.000 0.500 In
0.333 0.667 0.242 N
0.333 0.667 0.758 N
```

(16)
Compound: LiPd2W
Source: OQMD
Functional: GGA-PBE
Structure: relaxed

Summary:
Total DFT energy (no corrections)   -24.23 eV per cell
Space group   F-43m (216)

```
LiPd2W
1.0
0.000 3.070 3.070
3.070 0.000 3.070
3.070 3.070 0.000
Li Pd W
1 2 1
direct
0.000 0.000 0.000 Li
0.500 0.500 0.500 Pd
0.750 0.750 0.750 Pd
0.250 0.250 0.250 W
```

(17)
Compound: KAgTeMoSe2
Source: OQMD
Functional: GGA-PBE
Structure: relaxed

Summary:
Total DFT energy (no corrections)   -53.95 eV per cell
Space group   Cmcm (63)

```
KAgTeMoSe2
1.0
1.957 -7.887 0.000
1.957 7.887 0.000
0.000 0.000 10.563
K Ag Te Mo Se
2 2 2 2 4
direct
0.230 0.770 0.750 K
0.770 0.230 0.250 K
0.453 0.547 0.250 Ag
0.547 0.453 0.750 Ag
0.079 0.921 0.250 Te
0.921 0.079 0.750 Te
0.000 0.000 0.000 Mo
0.000 0.000 0.500 Mo
0.388 0.612 0.030 Se
0.388 0.612 0.470 Se
0.612 0.388 0.530 Se
0.612 0.388 0.970 Se
```

(18)
Compound: TaCdO3
Source: OQMD
Functional: GGA-PBE
Structure: relaxed

Summary:
Total DFT energy (no corrections)   -145.31 eV per cell
Space group   Pnma (62)

```
TaCdO3
1.0
5.622 0.000 0.000
0.000 7.121 0.000
0.000 0.000 6.378
Ta Cd O
4 4 12
direct
0.001 0.250 0.033 Ta
0.499 0.750 0.533 Ta
0.501 0.250 0.467 Ta
0.999 0.750 0.967 Ta
0.000 0.000 0.500 Cd
0.000 0.500 0.500 Cd
0.500 0.000 0.000 Cd
0.500 0.500 0.000 Cd
0.072 0.061 0.836 O
0.072 0.439 0.836 O
0.192 0.250 0.295 O
0.308 0.750 0.795 O
0.428 0.561 0.336 O
0.428 0.939 0.336 O
0.572 0.061 0.664 O
0.572 0.439 0.664 O
0.692 0.250 0.205 O
0.808 0.750 0.705 O
0.928 0.561 0.164 O
0.928 0.939 0.164 O
```

(19)
Compound: PrPIrO
Source: OQMD
Functional: GGA-PBE
Structure: relaxed

Summary:
Total DFT energy (no corrections)   -55.25 eV per cell
Space group   P4/nmm (129)

```
PrPIrO
1.0
6.063 0.000 0.000
0.000 6.063 0.000
0.000 0.000 4.471
Pr P Ir O
2 2 2 2
direct
0.250 0.750 0.000 Pr
0.750 0.250 0.000 Pr
0.250 0.250 0.489 P
0.750 0.750 0.511 P
0.250 0.250 0.990 Ir
0.750 0.750 0.010 Ir
0.250 0.750 0.500 O
0.750 0.250 0.500 O
```

(20)
Compound: RbTePbAuS2
Source: OQMD
Functional: GGA-PBE
Structure: relaxed

Summary:
Total DFT energy (no corrections)   -42.79 eV per cell
Space group   Cmcm (63)

```
RbTePbAuS2
1.0
1.974 -8.829 0.000
1.974 8.829 0.000
0.000 0.000 11.347
Rb Te Pb Au S
2 2 2 2 4
direct
0.238 0.762 0.750 Rb
0.762 0.238 0.250 Rb
0.436 0.564 0.250 Te
0.564 0.436 0.750 Te
0.500 0.500 0.000 Pb
0.500 0.500 0.500 Pb
0.106 0.894 0.250 Au
0.894 0.106 0.750 Au
0.111 0.889 0.047 S
0.111 0.889 0.453 S
0.889 0.111 0.547 S
0.889 0.111 0.953 S
```

(21)
Compound: DyNbN2O
Source: OQMD
Functional: GGA-PBE
Structure: relaxed

Summary:
Total DFT energy (no corrections)   -262.63 eV per cell
Space group   P6_3/mmc (194)

```
DyNbN2O
1.0
5.718 0.000 0.000
-2.859 4.952 0.000
0.000 0.000 14.063
Dy Nb N O
6 6 12 6
direct
0.000 0.000 0.250 Dy
0.000 0.000 0.750 Dy
0.333 0.667 0.127 Dy
0.333 0.667 0.373 Dy
0.667 0.333 0.627 Dy
0.667 0.333 0.873 Dy
0.000 0.000 0.000 Nb
0.000 0.000 0.500 Nb
0.333 0.667 0.645 Nb
0.333 0.667 0.855 Nb
0.667 0.333 0.145 Nb
0.667 0.333 0.355 Nb
0.157 0.315 0.593 N
0.157 0.315 0.907 N
0.157 0.843 0.593 N
0.157 0.843 0.907 N
0.315 0.157 0.093 N
0.315 0.157 0.407 N
0.685 0.843 0.593 N
0.685 0.843 0.907 N
0.843 0.157 0.093 N
0.843 0.157 0.407 N
0.843 0.685 0.093 N
0.843 0.685 0.407 N
0.021 0.511 0.250 O
0.489 0.511 0.250 O
0.489 0.979 0.250 O
0.511 0.021 0.750 O
0.511 0.489 0.750 O
0.979 0.489 0.750 O
```

(22)
Compound: ThB
Source: OQMD
Functional: GGA-PBE
Structure: relaxed

Summary:
Total DFT energy (no corrections)   -13.92 eV per cell
Space group   R-3m (166)

```
ThB
1.0
1.927 1.112 3.204
-1.927 1.112 3.204
0.000 -2.225 3.204
Th B
1 1
direct
0.000 0.000 0.000 Th
0.500 0.500 0.500 B
```